Here is an optimized crystal structure of BeRe2Mo from Alexandria. Energies are from GGA-PBE.

Properties
Crystal system = monoclinic
Spin magnetization = 0.001 Bohr magnetons per cell
ΔH_f (0 K) = 0.12 eV/atom

a b c (Å): 2.657 4.266 5.061
angles (deg): 90.00 99.52 90.00
Fractional positions:
1 Be 0.000 0.000 0.000
2 Re 0.261 0.500 0.763
3 Re 0.739 0.500 0.237
4 Mo 0.500 0.000 0.500